No. 1
Compound: Tm5UAs6
Source: Alexandria
Functional: PBE
Structure: optimized geometry

## Properties
The calculation puts the theoretical density at 8.95 g/cm3. The calculation puts the final energy at -6.498 eV per atom. Its energy of formation from the pure elements is -1.37 eV/atom.

Cell: 7.033 12.191 7.033 Å, 90.00 109.47 90.00°
Space group C2/m (No. 12)
Inequivalent atoms, fractional coordinates:
1 Tm 0.000 0.000 0.000
2 Tm 0.000 0.166 0.500
3 Tm 0.000 0.333 0.000
4 U 0.000 0.500 0.500
5 As 0.248 0.500 0.252
6 As 0.249 0.334 0.750

No. 2
Compound: Y2TmUAs4
Source: Alexandria
Functional: PBE
Structure: optimized geometry

## Properties
The calculation puts the theoretical density at 7.57 g/cm3. The calculation puts the final energy at -7.242 eV per atom. Its energy of formation from the pure elements is -1.33 eV/atom.

Cell: 7.092 4.083 7.098 Å, 90.00 109.21 90.00°
Space group P2/m (No. 10)
Inequivalent atoms, fractional coordinates:
1 Y 0.000 0.000 0.000
2 Y 0.500 0.500 0.000
3 Tm 0.000 0.500 0.500
4 U 0.500 0.000 0.500
5 As 0.250 0.000 0.744
6 As 0.251 0.500 0.254

No. 3
Compound: TmVAs2
Source: Alexandria
Functional: PBE
Structure: optimized geometry

## Properties
The calculation puts the theoretical density at 7.04 g/cm3. The calculation puts the final energy at -5.893 eV per atom. Its energy of formation from the pure elements is -0.17 eV/atom.

Cell: 3.3391 3.3391 27.0766 Å, 90.00 90.00 120.00°
Space group R-3m (No. 166, hexagonal axes)
Inequivalent atoms, fractional coordinates:
1 Tm 0.0000 0.0000 0.0000
2 V 0.0000 0.0000 0.5000
3 As 0.0000 0.0000 0.1057

No. 4
Compound: Y5Tm3As8
Source: Alexandria
Functional: PBE
Structure: optimized geometry

## Properties
The calculation puts the theoretical density at 6.60 g/cm3. The calculation puts the final energy at -6.720 eV per atom. Its energy of formation from the pure elements is -1.54 eV/atom.

Cell: 8.2011 8.2011 20.0895 Å, 90.00 90.00 120.00°
Space group R-3m (No. 166, hexagonal axes)
Inequivalent atoms, fractional coordinates:
1 Y 0.0000 0.0000 0.0000
2 Y 0.0000 0.0000 0.5000
3 Y 0.0000 0.5000 0.0000
4 Tm 0.0000 0.5000 0.5000
5 As 0.0000 0.0000 0.2486
6 As 0.0019 0.5009 0.7509

No. 5
Compound: YTm5As6
Source: Alexandria
Functional: PBE
Structure: optimized geometry

## Properties
The calculation puts the theoretical density at 8.01 g/cm3. The calculation puts the final energy at -6.241 eV per atom. Its energy of formation from the pure elements is -1.51 eV/atom.

Cell: 7.059 12.221 7.055 Å, 90.00 109.48 90.00°
Space group C2/m (No. 12)
Inequivalent atoms, fractional coordinates:
1 Y 0.000 0.000 0.000
2 Tm 0.000 0.166 0.500
3 Tm 0.000 0.333 0.000
4 Tm 0.000 0.500 0.500
5 As 0.248 0.332 0.748
6 As 0.248 0.500 0.251

No. 6
Compound: YTm4As5
Source: Alexandria
Functional: PBE
Structure: optimized geometry

## Properties
The calculation puts the theoretical density at 7.90 g/cm3. The calculation puts the final energy at -6.276 eV per atom. Its energy of formation from the pure elements is -1.52 eV/atom.

Cell: 9.114 9.114 5.765 Å, 90.00 90.00 90.00°
Space group I4/m (No. 87)
Inequivalent atoms, fractional coordinates:
1 Y 0.000 0.000 0.000
2 Tm 0.101 0.300 0.500
3 As 0.000 0.000 0.500
4 As 0.101 0.302 0.000

No. 7
Compound: Y2TmAs3
Source: Alexandria
Functional: PBE
Structure: optimized geometry

## Properties
The calculation puts the theoretical density at 6.47 g/cm3. The calculation puts the final energy at -6.763 eV per atom. Its energy of formation from the pure elements is -1.54 eV/atom.

Cell: 4.103 4.103 17.413 Å, 90.00 90.00 90.00°
Space group I4/mmm (No. 139)
Inequivalent atoms, fractional coordinates:
1 Y 0.000 0.000 0.167
2 Tm 0.000 0.000 0.500
3 As 0.000 0.000 0.000
4 As 0.000 0.000 0.334

No. 8
Compound: Y3TmAs4
Source: Alexandria
Functional: PBE
Structure: optimized geometry

## Properties
The calculation puts the theoretical density at 6.22 g/cm3. The calculation puts the final energy at -6.851 eV per atom. The offset from the most stable computed form is 2 meV per atom. Its energy of formation from the pure elements is -1.54 eV/atom.

Cell: 8.217 11.619 4.110 Å, 90.00 90.00 90.00°
Space group Cmmm (No. 65)
Inequivalent atoms, fractional coordinates:
1 Y 0.000 0.000 0.000
2 Y 0.250 0.250 0.500
3 Tm 0.000 0.500 0.000
4 As 0.000 0.251 0.000
5 As 0.247 0.500 0.500

No. 9
Compound: Y3TmAs4
Source: Alexandria
Functional: PBE
Structure: optimized geometry

## Properties
The calculation puts the theoretical density at 6.23 g/cm3. The calculation puts the final energy at -6.854 eV per atom. The offset from the most stable computed form is 0 meV per atom. Its energy of formation from the pure elements is -1.55 eV/atom.

Cell: 5.808 5.808 5.808 Å, 90.00 90.00 90.00°
Space group Pm-3m (No. 221)
Inequivalent atoms, fractional coordinates:
1 Y 0.000 0.000 0.500
2 Tm 0.500 0.500 0.500
3 As 0.000 0.000 0.000
4 As 0.000 0.500 0.500

No. 10
Compound: YTm2As
Source: Alexandria
Functional: PBE
Structure: optimized geometry

## Properties
The calculation puts the theoretical density at 6.74 g/cm3. The calculation puts the final energy at -5.376 eV per atom. Its energy of formation from the pure elements is -0.36 eV/atom.

Cell: 3.7353 3.7353 30.6931 Å, 90.00 90.00 120.00°
Space group R-3m (No. 166, hexagonal axes)
Inequivalent atoms, fractional coordinates:
1 Y 0.0000 0.0000 0.0000
2 Tm 0.0000 0.0000 0.1110
3 As 0.0000 0.0000 0.5000

No. 11
Compound: Tm2ZnAs
Source: Alexandria
Functional: PBE
Structure: optimized geometry

## Properties
The calculation puts the theoretical density at 8.20 g/cm3. The calculation puts the final energy at -4.477 eV per atom. Its energy of formation from the pure elements is -0.76 eV/atom.

Cell: 3.9546 3.9546 21.4519 Å, 90.00 90.00 120.00°
Space group R-3m (No. 166, hexagonal axes)
Inequivalent atoms, fractional coordinates:
1 Tm 0.0000 0.0000 0.2431
2 Zn 0.0000 0.0000 0.0000
3 As 0.0000 0.0000 0.5000

No. 12
Compound: Tm2ZrAs3
Source: Alexandria
Functional: PBE
Structure: optimized geometry

## Properties
The calculation puts the theoretical density at 8.06 g/cm3. The calculation puts the final energy at -6.600 eV per atom. Its energy of formation from the pure elements is -1.36 eV/atom.

Cell: 3.993 3.993 16.899 Å, 90.00 90.00 90.00°
Space group I4/mmm (No. 139)
Inequivalent atoms, fractional coordinates:
1 Tm 0.000 0.000 0.167
2 Zr 0.000 0.000 0.500
3 As 0.000 0.000 0.000
4 As 0.000 0.000 0.336

No. 13
Compound: Tm3ZrAs4
Source: Alexandria
Functional: PBE
Structure: optimized geometry

## Properties
The calculation puts the theoretical density at 8.21 g/cm3. The calculation puts the final energy at -6.480 eV per atom. Its energy of formation from the pure elements is -1.41 eV/atom.

Cell: 8.025 11.315 4.000 Å, 90.00 90.00 90.00°
Space group Cmmm (No. 65)
Inequivalent atoms, fractional coordinates:
1 Tm 0.000 0.000 0.000
2 Tm 0.250 0.250 0.500
3 Zr 0.000 0.500 0.000
4 As 0.000 0.254 0.000
5 As 0.243 0.500 0.500

No. 14
Compound: Tm5ZrAs6
Source: Alexandria
Functional: PBE
Structure: optimized geometry

## Properties
The calculation puts the theoretical density at 8.33 g/cm3. The calculation puts the final energy at -6.344 eV per atom. Its energy of formation from the pure elements is -1.44 eV/atom.

Cell: 6.968 12.060 6.969 Å, 90.00 109.48 90.00°
Space group C2/m (No. 12)
Inequivalent atoms, fractional coordinates:
1 Tm 0.000 0.000 0.000
2 Tm 0.000 0.166 0.500
3 Tm 0.000 0.332 0.000
4 Zr 0.000 0.500 0.500
5 As 0.244 0.500 0.253
6 As 0.245 0.336 0.746

No. 15
Compound: TmZrAs
Source: Alexandria
Functional: PBE
Structure: optimized geometry

## Properties
The calculation puts the theoretical density at 7.88 g/cm3. The calculation puts the final energy at -6.637 eV per atom. Its energy of formation from the pure elements is -0.75 eV/atom.

Cell: 14.600 3.872 9.996 Å, 90.00 90.53 90.00°
Space group C2/m (No. 12)
Inequivalent atoms, fractional coordinates:
1 Tm 0.047 0.000 0.365
2 Tm 0.099 0.500 0.852
3 Zr 0.188 0.000 0.076
4 Zr 0.242 0.000 0.655
5 As 0.092 0.500 0.183
6 As 0.123 0.500 0.555

No. 16
Compound: U3As
Source: Alexandria
Functional: PBE
Structure: optimized geometry

## Properties
The calculation puts the theoretical density at 16.65 g/cm3. The calculation puts the final energy at -9.952 eV per atom. The offset from the most stable computed form is 0 meV per atom. Its energy of formation from the pure elements is -0.32 eV/atom.

Cell: 4.285 4.285 4.285 Å, 90.00 90.00 90.00°
Space group Pm-3m (No. 221)
Inequivalent atoms, fractional coordinates:
1 U 0.000 0.000 0.500
2 As 0.500 0.500 0.500

No. 17
Compound: UAs
Source: Alexandria
Functional: PBE
Structure: optimized geometry

## Properties
The calculation puts the theoretical density at 12.29 g/cm3. The calculation puts the final energy at -8.498 eV per atom. Its energy of formation from the pure elements is -0.53 eV/atom.

Cell: 7.488 4.082 5.532 Å, 90.00 90.00 90.00°
Space group Pnma (No. 62)
Inequivalent atoms, fractional coordinates:
1 U 0.041 0.250 0.135
2 As 0.177 0.250 0.629

No. 18
Compound: UAs3
Source: Alexandria
Functional: PBE
Structure: optimized geometry

## Properties
The calculation puts the theoretical density at 9.81 g/cm3. The calculation puts the final energy at -6.733 eV per atom. Its energy of formation from the pure elements is -0.42 eV/atom.

Cell: 3.999 3.999 9.799 Å, 90.00 90.00 90.00°
Space group I4/mmm (No. 139)
Inequivalent atoms, fractional coordinates:
1 U 0.000 0.000 0.000
2 As 0.000 0.000 0.500
3 As 0.000 0.500 0.250

No. 19
Compound: UAs3
Source: Alexandria
Functional: PBE
Structure: optimized geometry

## Properties
The calculation puts the theoretical density at 9.87 g/cm3. The calculation puts the final energy at -6.685 eV per atom. Its energy of formation from the pure elements is -0.38 eV/atom.

Cell: 4.271 4.271 4.271 Å, 90.00 90.00 90.00°
Space group Pm-3m (No. 221)
Inequivalent atoms, fractional coordinates:
1 U 0.000 0.000 0.000
2 As 0.000 0.500 0.500

No. 20
Compound: UAs4
Source: Alexandria
Functional: PBE
Structure: optimized geometry

## Properties
The calculation puts the theoretical density at 5.98 g/cm3. The calculation puts the final energy at -5.305 eV per atom. Its energy of formation from the pure elements is 0.67 eV/atom.

Cell: 5.306 5.306 5.306 Å, 90.00 90.00 90.00°
Space group Pm-3m (No. 221)
Inequivalent atoms, fractional coordinates:
1 U 0.000 0.000 0.000
2 As 0.000 0.000 0.500
3 As 0.500 0.500 0.500

No. 21
Compound: U2As5
Source: Alexandria
Functional: PBE
Structure: optimized geometry

## Properties
The calculation puts the theoretical density at 9.40 g/cm3. The calculation puts the final energy at -7.030 eV per atom. Its energy of formation from the pure elements is -0.48 eV/atom.

Cell: 3.937 38.622 3.953 Å, 90.00 90.00 90.00°
Space group Cmcm (No. 63)
Inequivalent atoms, fractional coordinates:
1 U 0.000 0.100 0.250
2 U 0.000 0.310 0.250
3 As 0.000 0.039 0.750
4 As 0.000 0.175 0.250
5 As 0.000 0.250 0.750
6 As 0.000 0.385 0.250
7 As 0.000 0.456 0.750

No. 22
Compound: U5As
Source: Alexandria
Functional: PBE
Structure: optimized geometry

## Properties
The calculation puts the theoretical density at 17.40 g/cm3. The calculation puts the final energy at -10.262 eV per atom. Its energy of formation from the pure elements is -0.08 eV/atom.

Cell: 4.207 14.128 4.062 Å, 90.00 90.00 90.00°
Space group Cmmm (No. 65)
Inequivalent atoms, fractional coordinates:
1 U 0.000 0.000 0.000
2 U 0.000 0.157 0.500
3 U 0.000 0.337 0.000
4 As 0.000 0.500 0.500

No. 23
Compound: U4As
Source: Alexandria
Functional: PBE
Structure: optimized geometry

## Properties
The calculation puts the theoretical density at 11.69 g/cm3. The calculation puts the final energy at -8.963 eV per atom. Its energy of formation from the pure elements is 1.00 eV/atom.

Cell: 5.264 5.264 5.264 Å, 90.00 90.00 90.00°
Space group Pm-3m (No. 221)
Inequivalent atoms, fractional coordinates:
1 U 0.000 0.000 0.000
2 U 0.000 0.500 0.500
3 As 0.500 0.500 0.500

No. 24
Compound: U3As4
Source: Alexandria
Functional: PBE
Structure: optimized geometry

## Properties
The calculation puts the theoretical density at 10.99 g/cm3. The calculation puts the final energy at -8.259 eV per atom. Its energy of formation from the pure elements is -0.76 eV/atom.

Cell: 8.493 8.493 8.493 Å, 90.00 90.00 90.00°
Space group I-43d (No. 220)
Inequivalent atoms, fractional coordinates:
1 U 0.000 0.250 0.875
2 As 0.079 0.421 0.579